# 1
# NaSn2Se4

Crystalline NaSn2Se4 at its relaxed geometry (PBE, the Alexandria database).

Lattice parameters (Å, degrees): 4.0384 6.9836 13.5720 90.00 90.00 106.81
Atoms (fractional coordinates):
Se 0.9459 0.8918 0.7500
Se 0.2265 0.4530 0.8840
Se 0.7735 0.5470 0.3840
Se 0.5000 0.0000 0.5000
Se 0.2265 0.4530 0.6160
Se 0.0541 0.1082 0.2500
Se 0.5000 0.0000 0.0000
Se 0.7735 0.5470 0.1160
Na 0.3998 0.7996 0.2500
Na 0.6002 0.2004 0.7500
Sn 0.8622 0.7243 0.5707
Sn 0.8622 0.7243 0.9293
Sn 0.1378 0.2757 0.0707
Sn 0.1378 0.2757 0.4293

Output
ΔE to the lowest computed polymorph	0.0	meV/atom
formation energy (no corrections)	-0.507	eV/atom

---

# 2
# Pr6RhO12

Crystalline Pr6RhO12 at its relaxed geometry (PBE, the Alexandria database).

Lattice parameters (Å, degrees): 6.7760 6.7760 6.7760 98.41 98.41 98.41
Atoms (fractional coordinates):
Pr 0.3065 0.1440 0.6119
Pr 0.8560 0.3881 0.6935
Pr 0.3881 0.6935 0.8560
Pr 0.6935 0.8560 0.3881
Pr 0.6119 0.3065 0.1440
Pr 0.1440 0.6119 0.3065
O 0.9670 0.2900 0.0654
O 0.7100 0.9346 0.0330
O 0.2900 0.0654 0.9670
O 0.5926 0.1776 0.4420
O 0.9346 0.0330 0.7100
O 0.4420 0.5926 0.1776
O 0.0654 0.9670 0.2900
O 0.1776 0.4420 0.5926
O 0.4074 0.8224 0.5580
O 0.5580 0.4074 0.8224
O 0.8224 0.5580 0.4074
O 0.0330 0.7100 0.9346
Rh 0.0000 0.0000 0.0000

Output
formation energy (no corrections)	-2.727	eV/atom

---

# 3
# Sm6AlHg2

Crystalline Sm6AlHg2 at its relaxed geometry (PBE, the Alexandria database).

Lattice parameters (Å, degrees): 8.8783 8.8783 8.8783 110.28 109.60 108.54
Atoms (fractional coordinates):
Sm 0.1945 0.2548 0.4493
Sm 0.7323 0.0603 0.3280
Sm 0.2677 0.9397 0.6720
Sm 0.7323 0.4044 0.6720
Sm 0.5607 0.7363 0.8243
Sm 0.8055 0.2548 0.0603
Sm 0.0880 0.2637 0.8243
Sm 0.2677 0.5956 0.3280
Sm 0.9120 0.7363 0.1757
Sm 0.1945 0.7452 0.9397
Sm 0.4393 0.2637 0.1757
Sm 0.8055 0.7452 0.5507
Hg 0.6469 0.0000 0.6469
Hg 0.5000 0.6419 0.1419
Hg 0.5000 0.3581 0.8581
Hg 0.3531 0.0000 0.3531
Al 0.0000 0.5000 0.5000
Al 0.0000 0.0000 0.0000

Output
energy of formation from the pure elements	-209	kJ/mol of formula units

---

# 4
# Ba2UBeO6

Crystalline Ba2UBeO6 at its relaxed geometry (PBE, the Alexandria database).

Lattice parameters (Å, degrees): 5.8113 5.8113 5.8113 60.00 60.00 60.00
Atoms (fractional coordinates):
O 0.2435 0.7565 0.2435
O 0.7565 0.7565 0.2435
O 0.7565 0.2435 0.2435
O 0.2435 0.2435 0.7565
O 0.2435 0.7565 0.7565
O 0.7565 0.2435 0.7565
U 0.5000 0.5000 0.5000
Be 0.0000 0.0000 0.0000
Ba 0.2500 0.2500 0.2500
Ba 0.7500 0.7500 0.7500

Output
ΔE to the lowest computed polymorph	0.0	meV/atom
formation energy (no corrections)	-2.811	eV/atom

---

# 5
# HfCoBi3

Crystalline HfCoBi3 at its relaxed geometry (PBE, the Alexandria database).

Lattice parameters (Å, degrees): 5.5970 5.5970 5.5970 90.00 90.00 90.00
Atoms (fractional coordinates):
Bi 0.0000 0.0000 0.5000
Bi 0.5000 0.0000 0.0000
Bi 0.0000 0.5000 0.0000
Co 0.5000 0.5000 0.5000
Hf 0.0000 0.0000 0.0000

Output
ΔE to the lowest computed polymorph	370.1	meV/atom
energy of formation from the pure elements	483	kJ/mol of formula units

---

# 6
# PuPt3

Crystalline PuPt3 at its relaxed geometry (PBE, the Alexandria database).

Lattice parameters (Å, degrees): 4.7799 5.8971 5.8971 120.00 90.00 90.00
Atoms (fractional coordinates):
Pu 0.7500 0.3333 0.6667
Pu 0.2500 0.6667 0.3333
Pt 0.2500 0.6779 0.8389
Pt 0.2500 0.1611 0.3221
Pt 0.7500 0.8389 0.1610
Pt 0.7500 0.3221 0.1611
Pt 0.7500 0.8389 0.6779
Pt 0.2500 0.1611 0.8390

Output
energy of formation from the pure elements	-260	kJ/mol of formula units

---

# 7
# GaSb2IrAu

Crystalline GaSb2IrAu at its relaxed geometry (PBE, the Alexandria database).

Lattice parameters (Å, degrees): 5.2021 4.7302 5.2021 90.00 90.00 90.00
Atoms (fractional coordinates):
Au 0.5000 0.5000 0.5000
Sb 0.0000 0.0000 0.5000
Sb 0.5000 0.0000 0.0000
Ga 0.0000 0.5000 0.0000
Ir 0.0000 0.0000 0.0000

Output
formation energy (no corrections)	0.279	eV/atom

---

# 8
# Na10B17C3

Crystalline Na10B17C3 at its relaxed geometry (PBE, the Alexandria database).

Lattice parameters (Å, degrees): 9.1902 9.1902 13.7891 111.83 111.83 17.69
Atoms (fractional coordinates):
B 0.2293 0.2293 0.2081
B 0.4348 0.4348 0.6195
B 0.0351 0.0351 0.3195
B 0.7718 0.7718 0.7949
B 0.9738 0.9738 0.6991
B 0.4293 0.4293 0.1075
B 0.1659 0.1659 0.0811
B 0.5617 0.5617 0.8750
B 0.3727 0.3727 0.4950
B 0.8320 0.8320 0.4130
B 0.2295 0.2295 0.7106
B 0.1669 0.1669 0.5848
B 0.7695 0.7695 0.2878
B 0.6276 0.6276 0.0046
B 0.8385 0.8385 0.9267
B 0.6243 0.6243 0.4986
B 0.9693 0.9693 0.1879
Na 0.9990 0.9990 0.4998
Na 0.4012 0.4012 0.2991
Na 0.2000 0.2000 0.3978
Na 0.7999 0.7999 0.0993
Na 0.8008 0.8008 0.6013
Na 0.6003 0.6003 0.7011
Na 0.5989 0.5989 0.1982
Na 0.1997 0.1997 0.9004
Na 0.0003 0.0003 0.0002
Na 0.3999 0.3999 0.8025
C 0.3698 0.3698 0.9881
C 0.0318 0.0318 0.8161
C 0.5665 0.5665 0.3826

Output
ΔE to the lowest computed polymorph	10.1	meV/atom
energy of formation from the pure elements	622	kJ/mol of formula units